# OsRu (PBE, optimized geometry)
# E_tot in eV for the cell shown: -73.4
# Space-group type: No. 136
# Magnetization in Bohr magnetons per cell: 0.00
# Calculated volume in Å³/atom: 20.61
data_OsRu
_chemical_formula_sum 'Os4 Ru4'
_cell_length_a 7.970
_cell_length_b 7.970
_cell_length_c 2.595
_cell_angle_alpha 90.00
_cell_angle_beta 90.00
_cell_angle_gamma 90.00
_symmetry_space_group_name_H-M 'P 1'
_symmetry_Int_Tables_number 1
loop_
_symmetry_equiv_pos_as_xyz
'x,y,z'
loop_
_atom_site_label
_atom_site_type_symbol
_atom_site_fract_x
_atom_site_fract_y
_atom_site_fract_z
Os1 Os 0.631 0.631 0.000
Os2 Os 0.369 0.369 0.000
Ru1 Ru 0.328 0.672 0.000
Ru2 Ru 0.828 0.828 0.500
Ru3 Ru 0.672 0.328 0.000
Os3 Os 0.131 0.869 0.500
Ru4 Ru 0.172 0.172 0.500
Os4 Os 0.869 0.131 0.500

# LiCaPm2 (PBE, optimized geometry)
# E_tot in eV for the cell shown: -12.7
# Space-group type: No. 123
# Magnetization in Bohr magnetons per cell: 0.00
# Calculated volume in Å³/atom: 32.54
data_LiCaPm2
_chemical_formula_sum 'Li1 Ca1 Pm2'
_cell_length_a 4.085
_cell_length_b 5.644
_cell_length_c 5.644
_cell_angle_alpha 90.00
_cell_angle_beta 90.00
_cell_angle_gamma 90.00
_symmetry_space_group_name_H-M 'P 1'
_symmetry_Int_Tables_number 1
loop_
_symmetry_equiv_pos_as_xyz
'x,y,z'
loop_
_atom_site_label
_atom_site_type_symbol
_atom_site_fract_x
_atom_site_fract_y
_atom_site_fract_z
Pm1 Pm 0.000 0.000 0.500
Pm2 Pm 0.000 0.500 0.000
Ca1 Ca 0.500 0.500 0.500
Li1 Li 0.500 0.000 0.000

# KSrRuO3 (PBE, optimized geometry)
# ΔE_f (raw) in eV/atom: -1.642
# E_tot in eV for the cell shown: -73.6
# Space-group type: No. 12
# Magnetization in Bohr magnetons per cell: 4.86
# Calculated volume in Å³/atom: 16.67
data_KSrRuO3
_chemical_formula_sum 'K2 Sr2 Ru2 O6'
_cell_length_a 3.948
_cell_length_b 7.085
_cell_length_c 7.748
_cell_angle_alpha 105.35
_cell_angle_beta 90.00
_cell_angle_gamma 106.18
_symmetry_space_group_name_H-M 'P 1'
_symmetry_Int_Tables_number 1
loop_
_symmetry_equiv_pos_as_xyz
'x,y,z'
loop_
_atom_site_label
_atom_site_type_symbol
_atom_site_fract_x
_atom_site_fract_y
_atom_site_fract_z
O1 O 0.505 0.009 0.278
K1 K 0.354 0.708 0.933
Ru1 Ru 0.004 0.008 0.274
O2 O 0.845 0.690 0.643
Sr1 Sr 0.347 0.693 0.420
O3 O 0.495 0.991 0.722
O4 O 0.155 0.310 0.357
O5 O 0.856 0.711 0.208
Ru2 Ru 0.996 0.992 0.726
Sr2 Sr 0.653 0.307 0.580
K2 K 0.646 0.292 0.067
O6 O 0.144 0.289 0.792

# NdTm3Al2 (PBE, optimized geometry)
# E_tot in eV for the cell shown: -27.2
# Space-group type: No. 123
# Magnetization in Bohr magnetons per cell: 0.00
# Calculated volume in Å³/atom: 25.92
data_NdTm3Al2
_chemical_formula_sum 'Nd1 Tm3 Al2'
_cell_length_a 3.524
_cell_length_b 3.524
_cell_length_c 12.520
_cell_angle_alpha 90.00
_cell_angle_beta 90.00
_cell_angle_gamma 90.00
_symmetry_space_group_name_H-M 'P 1'
_symmetry_Int_Tables_number 1
loop_
_symmetry_equiv_pos_as_xyz
'x,y,z'
loop_
_atom_site_label
_atom_site_type_symbol
_atom_site_fract_x
_atom_site_fract_y
_atom_site_fract_z
Al1 Al 0.500 0.500 0.853
Al2 Al 0.500 0.500 0.147
Nd1 Nd 0.500 0.500 0.500
Tm1 Tm 0.000 0.000 0.292
Tm2 Tm 0.000 0.000 0.000
Tm3 Tm 0.000 0.000 0.708